The following is a DFT calculation (PBE) of crystalline KCd2InSe4 at its relaxed geometry.

Cell and atoms, written as CIF:
```
data_KCd2InSe4
_cell_length_a 7.428
_cell_length_b 7.428
_cell_length_c 7.428
_cell_angle_alpha 125.78
_cell_angle_beta 125.78
_cell_angle_gamma 80.25
_space_group_name_H-M_alt 'P 1'
_space_group_IT_number 1
loop_
_space_group_symop_operation_xyz
'x,y,z'
loop_
_atom_site_label
_atom_site_fract_x
_atom_site_fract_y
_atom_site_fract_z
_atom_site_occupancy
K1 0.000 0.000 0.000 1
Cd1 0.250 0.750 0.500 1
Cd2 0.750 0.250 0.500 1
In1 0.500 0.500 0.000 1
Se1 0.143 0.143 0.563 1
Se2 0.420 0.857 0.000 1
Se3 0.580 0.580 0.437 1
Se4 0.857 0.420 0.000 1
```

energy = -25.21 eV for the cell shown
symmetry = I-42m, No. 121
ΔE_f (raw) = -0.700 eV per atom